An optimized crystal structure of Ba3CaRu2O9, computed with GGA-PBEsol.

a = 5.873 Å, b = 5.873 Å, c = 14.649 Å
α = 90.00°, β = 90.00°, γ = 120.00°
Each line ends with the local moment (μB).
Fractional coordinates of all 30 atoms:
Ba (0.000, 0.000, 0.750)  0.02
Ba (0.000, 0.000, 0.250)  0.02
Ba (0.667, 0.333, 0.902)  0.02
Ba (0.667, 0.333, 0.598)  0.02
Ba (0.333, 0.667, 0.098)  0.02
Ba (0.333, 0.667, 0.402)  0.02
Ca (0.000, 0.000, 0.000)  0.01
Ca (0.000, 0.000, 0.500)  0.01
Ru (0.667, 0.333, 0.158)  1.84
Ru (0.667, 0.333, 0.342)  1.84
Ru (0.333, 0.667, 0.842)  1.84
Ru (0.333, 0.667, 0.658)  1.84
O (0.484, 0.516, 0.750)  0.10
O (0.484, 0.969, 0.750)  0.10
O (0.031, 0.516, 0.750)  0.10
O (0.516, 0.484, 0.250)  0.10
O (0.516, 0.031, 0.250)  0.10
O (0.969, 0.484, 0.250)  0.10
O (0.824, 0.177, 0.090)  0.19
O (0.823, 0.647, 0.410)  0.19
O (0.353, 0.176, 0.410)  0.19
O (0.353, 0.176, 0.090)  0.19
O (0.823, 0.647, 0.090)  0.19
O (0.177, 0.824, 0.910)  0.19
O (0.176, 0.353, 0.910)  0.19
O (0.647, 0.823, 0.910)  0.19
O (0.824, 0.177, 0.410)  0.19
O (0.647, 0.823, 0.590)  0.19
O (0.177, 0.824, 0.590)  0.19
O (0.176, 0.353, 0.590)  0.19

* ΔE_f (raw): -2.11 eV per atom
* crystal system: hexagonal
* total DFT energy (no corrections): -107.790 eV/f.u.
* mass density: 6.06 Mg/m³
* space group: No. 194